P) Density functional theory data (meta-GGA SCAN) for Sr2ReAu at its PBEsol-relaxed geometry.

a b c (Å): 3.359 3.359 8.541
angles (deg): 90.00 90.00 90.00
Site moments in Bohr magnetons follow the coordinates.
Element x y z (fractional)
Au 0.500 0.500 0.000  -0.01
Sr 0.000 0.000 0.745  0.01
Re 0.500 0.500 0.500  1.21
Sr 0.000 0.000 0.255  0.01

Its density of states at the Fermi level is 0.505 states/eV per atom.

Q) Density functional theory data (meta-GGA SCAN) for Sr2ReAu at its PBEsol-relaxed geometry.

a b c (Å): 4.468 4.468 5.739
angles (deg): 112.91 112.91 90.00
Site moments in Bohr magnetons follow the coordinates.
Element x y z (fractional)
Re 0.250 0.750 0.500  1.70
Au 0.500 0.500 0.000  0.02
Sr 0.000 0.000 0.000  -0.01
Sr 0.750 0.250 0.500  0.01

Its density of states at the Fermi level is 0.702 states/eV per atom.

P) is preferred energetically. Next in line: 249 meV/atom higher.